No. 1
DFT (GGA-PBE) results for a relaxed CsTe5Pt3 crystal.

Spin magnetization: 0.0 μB per cell
Uncorrected energy: -4.16 eV per atom
Space-group type: P6/mmm (191)

Cell lengths 6.6218, 6.6218, 7.7523 Å; angles 90.00, 90.00, 120.00 degrees
Fractional coordinates of all 9 atoms:
Pt  0.0000  0.5000  0.5000
Pt  0.5000  0.5000  0.5000
Pt  0.5000  0.0000  0.5000
Te  0.6667  0.3333  0.7360
Te  0.6667  0.3333  0.2640
Te  0.3333  0.6667  0.2640
Te  0.0000  0.0000  0.5000
Cs  0.0000  0.0000  0.0000
Te  0.3333  0.6667  0.7360

No. 2
DFT (GGA-PBE) results for a relaxed AgHgAsO crystal.

ΔE to the lowest computed polymorph: 0.195 eV per atom
Space-group type: P4/nmm (129)

Cell lengths 4.3197, 4.3197, 7.9343 Å; angles 90.00, 90.00, 90.00 degrees
Fractional coordinates of all 8 atoms:
O  0.0000  0.0000  0.0000
Ag  0.5000  0.5000  0.5000
O  0.5000  0.5000  0.0000
Ag  0.0000  0.0000  0.5000
Hg  0.0000  0.5000  0.1118
As  0.0000  0.5000  0.6917
As  0.5000  0.0000  0.3083
Hg  0.5000  0.0000  0.8882

No. 3
DFT (GGA-PBE) results for a relaxed LiUCo crystal.

Spin magnetization: 2.4 μB per cell
ΔE to the lowest computed polymorph: 0.000 eV per atom
Space-group type: F-43m (216)

Cell lengths 4.2040, 4.2040, 4.2040 Å; angles 60.00, 60.00, 60.00 degrees
Fractional coordinates of all 3 atoms:
Co  0.0000  0.0000  0.0000
U  0.7500  0.7500  0.7500
Li  0.2500  0.2500  0.2500

No. 4
DFT (GGA-PBE) results for a relaxed Li4In2CuPd crystal.

Uncorrected energy: -3.10 eV per atom
Space-group type: P-4m2 (115)

Cell lengths 4.4651, 4.4651, 6.3020 Å; angles 90.00, 90.00, 90.00 degrees
Fractional coordinates of all 8 atoms:
Li  0.5000  0.5000  0.5000
Cu  0.0000  0.0000  0.5000
Li  0.0000  0.0000  0.0000
Li  0.5000  0.0000  0.2532
Pd  0.5000  0.5000  0.0000
In  0.0000  0.5000  0.2556
In  0.5000  0.0000  0.7444
Li  0.0000  0.5000  0.7468

No. 5
DFT (GGA-PBE) results for a relaxed ErTm2Sn3Pd2Pt crystal.

Spin magnetization: 0.0 μB per cell
Uncorrected energy: -5.63 eV per atom
Space-group type: Amm2 (38)

Cell lengths 3.9407, 7.5284, 7.5284 Å; angles 120.06, 90.00, 90.00 degrees
Fractional coordinates of all 9 atoms:
Sn  0.5000  0.7374  0.0000
Pd  0.5000  0.3325  0.6670
Sn  0.5000  0.2629  0.2629
Sn  0.5000  0.0000  0.7374
Tm  0.0000  0.3994  0.0000
Pd  0.5000  0.6670  0.3325
Er  0.0000  0.6003  0.6003
Pt  0.0000  0.0007  0.0007
Tm  0.0000  0.0000  0.3994

No. 6
DFT (GGA-PBE) results for a relaxed CsPaFe crystal.

Spin magnetization: 0.7 μB per cell
Uncorrected energy: -4.07 eV per atom
Space-group type: F-43m (216)

Cell lengths 4.7442, 4.7442, 4.7442 Å; angles 60.00, 60.00, 60.00 degrees
Site moments in Bohr magnetons follow the coordinates.
Fractional coordinates of all 3 atoms:
Cs  0.0000  0.0000  0.0000  -0.05
Fe  0.7500  0.7500  0.7500  2.42
Pa  0.2500  0.2500  0.2500  -1.27